{
  "formula": "La2MgCd",
  "functional": "GGA-PBEsol",
  "state": "relaxed",
  "cell": [[-1.902, 2.740, 5.450], [1.902, -2.740, 5.450], [1.902, 2.740, -5.450]],
  "species": ["La", "La", "Mg", "Cd"],
  "frac_coords": [[0.000, 0.000, 0.000], [0.731, 0.231, 0.500], [0.273, 0.773, 0.500], [0.472, 0.472, 0.000]],
  "space_group": "Imm2",
  "formation_enthalpy_0k_ev_per_atom": -0.1899
}